1.
Below is crystalline YAg2Se at its relaxed geometry, with properties calculated at the GGA-PBEsol level.

abc: 3.9560 3.9560 5.1828
angles: 90.00 90.00 90.00
Closest atoms and distances in Å follow each position.
Fractional coordinates of all 4 atoms:
Y (0.0000, 0.0000, 0.0000)  4 Se 2.80
Ag (0.0000, 0.5000, 0.5000)  4 Ag 2.80
Ag (0.5000, 0.0000, 0.5000)  4 Ag 2.80
Se (0.5000, 0.5000, 0.0000)  4 Y 2.80

Output
Density of states at the Fermi level   1.716 states/eV/f.u.
ΔE_f (raw)   -0.6277 eV/atom
Crystal system   tetragonal
Magnetic moment   0.00 μB/atom
Symmetry   No. 123
Calculated density   7.9 Mg/m³
Raw total energy   -19.8 eV per formula unit

***

2.
Below is crystalline Fe3ICl at its relaxed geometry, with properties calculated at the GGA-PBEsol level.

abc: 4.7387 4.7387 4.7387
angles: 90.00 90.00 90.00
Closest atoms and distances in Å follow each position.
Fractional coordinates of all 5 atoms:
Fe (0.0000, 0.0000, 0.5000)  2 I 2.37
Fe (0.0000, 0.5000, 0.0000)  2 I 2.37
Fe (0.5000, 0.0000, 0.0000)  2 I 2.37
I (0.0000, 0.0000, 0.0000)  6 Fe 2.37
Cl (0.5000, 0.5000, 0.5000)  12 Fe 3.35

Output
Density of states at the Fermi level   4.289 states/eV/f.u.
ΔE_f (raw)   1.4270 eV/atom
Crystal system   cubic
Magnetic moment   1.60 μB/atom
Symmetry   No. 221
Calculated density   5.1 Mg/m³
Raw total energy   -23.5 eV per formula unit

***

3.
Below is crystalline Zn2IrRu at its relaxed geometry, with properties calculated at the GGA-PBEsol level.

abc: 5.0639 5.0639 5.0639
angles: 146.85 130.02 61.30
Closest atoms and distances in Å follow each position.
Fractional coordinates of all 4 atoms:
Zn (0.0000, 0.0000, 0.0000)  4 Ru 2.58, 4 Zn 2.59-2.89, 2 Ir 2.63
Zn (0.7527, 0.2527, 0.5000)  4 Ir 2.58, 4 Zn 2.59-2.89, 2 Ru 2.64
Ir (0.2517, 0.7517, 0.5000)  6 Zn 2.58-2.63, 2 Ru 2.60, 2 Ir 2.89
Ru (0.4994, 0.4994, 0.0000)  6 Zn 2.58-2.64, 2 Ir 2.60, 2 Ru 2.89

Output
Density of states at the Fermi level   3.706 states/eV/f.u.
Crystal system   orthorhombic
Energy above the lowest structure with this stoichiometry   0.0503 eV/atom
Magnetic moment   0.00 μB/atom
Symmetry   No. 44
Calculated density   13.1 Mg/m³
Raw total energy   -23.0 eV per formula unit

***

4.
Below is crystalline LaReCl2 at its relaxed geometry, with properties calculated at the GGA-PBEsol level.

abc: 3.1825 3.1825 8.4197
angles: 90.00 90.00 90.00
Closest atoms and distances in Å follow each position.
Fractional coordinates of all 4 atoms:
La (0.0000, 0.0000, 0.0000)  4 Cl 2.92, 4 La 3.18, 4 Re 3.22
Re (0.5000, 0.5000, 0.7273)  4 Cl 2.54
Cl (0.0000, 0.0000, 0.5864)  4 Re 2.54
Cl (0.5000, 0.5000, 0.2212)  4 La 2.92, 4 Cl 3.18

Output
Density of states at the Fermi level   1.131 states/eV/f.u.
ΔE_f (raw)   -0.2872 eV/atom
Crystal system   tetragonal
Energy above the lowest structure with this stoichiometry   0.1785 eV/atom
Magnetic moment   0.00 μB/atom
Symmetry   No. 99
Calculated density   7.7 Mg/m³
Raw total energy   -23.8 eV per formula unit

***

5.
Below is crystalline Zr2TeIr at its relaxed geometry, with properties calculated at the GGA-PBEsol level.

abc: 7.3080 7.3080 7.3080
angles: 30.47 30.47 30.47
Closest atoms and distances in Å follow each position.
Fractional coordinates of all 4 atoms:
Zr (0.2350, 0.2350, 0.2350)  3 Ir 2.64
Zr (0.7650, 0.7650, 0.7650)  3 Ir 2.64
Te (0.0000, 0.0000, 0.0000)  6 Zr 3.02
Ir (0.5000, 0.5000, 0.5000)  6 Zr 2.64

Output
Density of states at the Fermi level   2.780 states/eV/f.u.
ΔE_f (raw)   -0.7350 eV/atom
Crystal system   trigonal
Magnetic moment   0.00 μB/atom
Symmetry   No. 166
Calculated density   9.4 Mg/m³
Raw total energy   -34.5 eV per formula unit

***

6.
Below is crystalline BiSbAsBr2 at its relaxed geometry, with properties calculated at the GGA-PBEsol level.

abc: 5.3006 5.3006 5.6078
angles: 90.00 90.00 90.00
Closest atoms and distances in Å follow each position.
Fractional coordinates of all 5 atoms:
Bi (0.0000, 0.0000, 0.0000)  4 As 3.75, 8 Br 3.86
Sb (0.5000, 0.5000, 0.5000)  4 Br 2.65, 2 As 2.80
As (0.5000, 0.5000, 0.0000)  2 Sb 2.80
Br (0.0000, 0.5000, 0.5000)  2 Sb 2.65
Br (0.5000, 0.0000, 0.5000)  2 Sb 2.65

Output
Density of states at the Fermi level   2.600 states/eV/f.u.
ΔE_f (raw)   0.3399 eV/atom
Crystal system   tetragonal
Magnetic moment   0.19 μB/atom
Symmetry   No. 123
Calculated density   6.0 Mg/m³
Raw total energy   -16.0 eV per formula unit

***

7.
Below is crystalline TbNi2P2 at its relaxed geometry, with properties calculated at the GGA-PBEsol level.

abc: 5.3752 5.3752 5.3752
angles: 138.22 138.22 60.57
Closest atoms and distances in Å follow each position.
Fractional coordinates of all 5 atoms:
Tb (0.0000, 0.0000, 0.0000)  8 P 2.94, 8 Ni 3.01
Ni (0.2500, 0.7500, 0.5000)  4 P 2.25
Ni (0.7500, 0.2500, 0.5000)  4 P 2.25
P (0.3764, 0.3764, 0.0000)  4 Ni 2.25, 1 P 2.29
P (0.6236, 0.6236, 0.0000)  4 Ni 2.25, 1 P 2.29

Output
Density of states at the Fermi level   1.676 states/eV/f.u.
Crystal system   tetragonal
Magnetic moment   0.00 μB/atom
Symmetry   No. 139
Calculated density   8.2 Mg/m³
Raw total energy   -34.5 eV per formula unit

***

8.
Below is crystalline Ta3GaSb at its relaxed geometry, with properties calculated at the GGA-PBEsol level.

abc: 4.9613 4.9613 4.9613
angles: 90.00 90.00 90.00
Closest atoms and distances in Å follow each position.
Fractional coordinates of all 5 atoms:
Ta (0.0000, 0.0000, 0.5000)  2 Sb 2.48
Ta (0.0000, 0.5000, 0.0000)  2 Sb 2.48
Ta (0.5000, 0.0000, 0.0000)  2 Sb 2.48
Ga (0.5000, 0.5000, 0.5000)  12 Ta 3.51
Sb (0.0000, 0.0000, 0.0000)  6 Ta 2.48

Output
Density of states at the Fermi level   7.780 states/eV/f.u.
ΔE_f (raw)   1.9346 eV/atom
Crystal system   cubic
Magnetic moment   0.00 μB/atom
Symmetry   No. 221
Calculated density   10.0 Mg/m³
Raw total energy   -35.9 eV per formula unit

***

9.
Below is crystalline SrCoAsBr2 at its relaxed geometry, with properties calculated at the GGA-PBEsol level.

abc: 5.0398 5.0398 4.5148
angles: 90.00 90.00 90.00
Closest atoms and distances in Å follow each position.
Fractional coordinates of all 5 atoms:
Sr (0.0000, 0.0000, 0.0000)  8 Br 3.38, 4 As 3.56
Co (0.5000, 0.5000, 0.5000)  2 As 2.26, 4 Br 2.52
As (0.5000, 0.5000, 0.0000)  2 Co 2.26
Br (0.0000, 0.5000, 0.5000)  2 Co 2.52
Br (0.5000, 0.0000, 0.5000)  2 Co 2.52

Output
Density of states at the Fermi level   3.503 states/eV/f.u.
ΔE_f (raw)   -0.6144 eV/atom
Crystal system   tetragonal
Magnetic moment   0.00 μB/atom
Symmetry   No. 123
Calculated density   5.5 Mg/m³
Raw total energy   -21.5 eV per formula unit

***

10.
Below is crystalline LiRe2Br at its relaxed geometry, with properties calculated at the GGA-PBEsol level.

abc: 2.6861 2.6861 8.6415
angles: 90.00 90.00 90.00
Closest atoms and distances in Å follow each position.
Fractional coordinates of all 4 atoms:
Li (0.0000, 0.0000, 0.0000)  4 Li 2.69, 8 Re 2.85
Re (0.5000, 0.5000, 0.2461)  4 Re 2.69, 4 Li 2.85, 4 Br 2.90
Re (0.5000, 0.5000, 0.7539)  4 Re 2.69, 4 Li 2.85, 4 Br 2.90
Br (0.0000, 0.0000, 0.5000)  4 Br 2.69, 8 Re 2.90

Output
Density of states at the Fermi level   3.713 states/eV/f.u.
ΔE_f (raw)   1.3345 eV/atom
Crystal system   tetragonal
Energy above the lowest structure with this stoichiometry   0.3195 eV/atom
Magnetic moment   0.00 μB/atom
Symmetry   No. 123
Calculated density   12.2 Mg/m³
Raw total energy   -25.2 eV per formula unit